Co3Pt2 after structural relaxation. Source: Alexandria, functional PBE-GGA.

magnetization	4.68	Bohr magnetons per cell
ΔE_f	-12	meV per atom
crystal system	trigonal
energy above the most stable polymorph in this dataset	0.01	eV per formula unit

Cell: 2.6755 2.6755 31.8272 Å, 90.00 90.00 120.00°
Last column: nearest neighbours and their distance in Å.
Space group R-3m (No. 166, hexagonal axes)
Asymmetric unit:
Co 0.0000 0.0000 0.0000 [3 per cell]  6 Pt 2.65, 6 Co 2.68
Co 0.0000 0.0000 0.1959 [6 per cell]  9 Co 2.42-2.68, 3 Pt 2.70
Pt 0.0000 0.0000 0.4011 [6 per cell]  6 Co 2.65-2.70, 6 Pt 2.68